DFT (PBE-GGA) results for a relaxed structure of KRbNa2H.

```
5
Lattice="-1.5567 -3.4009 -4.4898 0.0986 -4.6739 3.5061 -5.7076 0.8698 1.3201" Properties=species:S:1:pos:R:3 pbc="T T T"
Na 0.0493 -2.3369 1.7531
Na -0.7784 -1.7005 -2.2449
K -3.5829 -3.6025 0.1682
Rb -2.8538 0.4349 0.6600
H 0.0000 0.0000 0.0000
```

Results
As for the total magnetization: 0.64 μB/f.u. Its space group is No. 123. The calculation puts the volume at 202.2 Å³/cell. The calculation puts the raw total energy at -1.4849 eV per atom.

---

DFT (PBE-GGA) results for a relaxed structure of La4TbEr5.

```
20
Lattice="-2.0724 3.4186 -4.1044 1.3670 -7.8979 -7.2683 -9.9944 -3.6082 2.0410" Properties=species:S:1:pos:R:3 pbc="T T T"
La -8.3375 -0.4299 -1.1009
La -0.3184 -3.4578 -7.6716
La -0.8811 -0.2066 -4.6796
La -4.2234 1.0554 -1.9411
La -2.1627 -3.3898 -4.7770
La -4.7008 -6.7745 -6.3147
La -5.5050 -2.1279 -2.0385
La -8.0430 -5.5127 -3.5761
Tb -1.2532 2.0673 -2.4820
Tb -5.1329 -4.4017 -4.2360
Er -7.5628 -9.1909 -4.9947
Er -8.4973 -3.7917 -0.0259
Er -1.3889 -0.5304 -7.7386
Er -0.7304 -6.7243 -6.3900
Er -1.6649 -1.3251 -1.4212
Er -4.2888 -3.5081 -7.5963
Er -4.7212 -1.0094 -5.2968
Er -4.9972 -1.8041 1.0205
Er -7.8832 -2.1509 -4.6511
Er -7.4508 -4.6496 -6.9506
```

Results
As for the total magnetization: 0.00 μB/f.u. The calculated formation energy comes out at 0.19 eV per atom. Its space group is No. 129. The calculation puts the volume at 670.8 Å³/cell. The calculation puts the raw total energy at -4.5207 eV per atom.

---

DFT (PBE-GGA) results for a relaxed structure of GaPBr2.

```
4
Lattice="6.8842 -6.6172 0.2827 5.9444 -6.7545 -3.2095 8.2994 -4.2556 -2.0662" Properties=species:S:1:pos:R:3 pbc="T T T"
P 0.0000 0.0000 0.0000
Ga 10.5640 -8.8136 -2.4965
Br 19.2612 -16.0698 -4.5518
Br 1.8667 -1.5574 -0.4412
```

Results
As for the total magnetization: 0.00 μB/f.u. Its space group is No. 166. The calculation puts the volume at 105.7 Å³/cell. The calculation puts the raw total energy at -2.7727 eV per atom.

---

DFT (PBE-GGA) results for a relaxed structure of ScSe2BrF.

```
5
Lattice="-4.1839 3.0569 0.6766 -2.0195 -3.4979 3.3156 2.3669 2.3676 3.9394" Properties=species:S:1:pos:R:3 pbc="T T T"
Sc 0.0000 0.0000 0.0000
Se -1.0097 -1.7489 1.6578
Se -2.0919 1.5284 0.3383
Br 1.1834 1.1838 1.9697
F -1.9182 0.9633 3.9658
```

Results
As for the total magnetization: 2.53 μB/f.u. Its space group is No. 123. The calculation puts the volume at 141.2 Å³/cell. The calculation puts the raw total energy at -3.9444 eV per atom.

---

DFT (PBE-GGA) results for a relaxed structure of Zn2CdAs.

```
4
Lattice="-0.5572 -1.0012 3.8462 -3.8616 -2.3000 -1.1582 2.1584 -3.3430 -0.5575" Properties=species:S:1:pos:R:3 pbc="T T T"
As 0.8006 -2.1721 1.6443
Cd -0.8516 -2.8215 -0.8579
Zn 0.0000 0.0000 0.0000
Zn -2.2094 -1.6506 1.3440
```

Results
As for the total magnetization: 0.00 μB/f.u. The calculated formation energy comes out at 0.16 eV per atom. Its space group is No. 47. The calculation puts the volume at 74.8 Å³/cell. The calculation puts the raw total energy at -1.8715 eV per atom.

---

DFT (PBE-GGA) results for a relaxed structure of CrHg3Br.

```
5
Lattice="-1.6295 0.9941 -5.0842 -2.2406 -4.9407 -0.2480 -4.6709 2.0233 1.8926" Properties=species:S:1:pos:R:3 pbc="T T T"
Cr 0.0000 0.0000 0.0000
Hg -1.1203 -2.4704 -0.1240
Hg -2.3354 1.0116 0.9463
Hg -0.8147 0.4971 -2.5421
Br -4.2705 -0.9617 -1.7198
```

Results
As for the total magnetization: 4.81 μB/f.u. Its space group is No. 221. The calculation puts the volume at 160.2 Å³/cell. The calculation puts the raw total energy at -2.2442 eV per atom.